! BeIr2, relaxed, DFT PBEsol; values from VASP
&SYSTEM
  ibrav = 0, nat = 6, ntyp = 2
/
ATOMIC_SPECIES
Be 9.01 Be.upf
Ir 192.22 Ir.upf
ATOMIC_POSITIONS angstrom
Be -1.7275 -0.9888 0.1175
Be -1.8043 -0.0972 5.2985
Ir -2.3511 0.6163 3.0489
Ir -3.2351 -1.6455 4.1585
Ir -1.1807 -1.7023 2.3671
Ir -0.2966 0.5595 1.2575
CELL_PARAMETERS angstrom
-2.5162 0.5682 -0.8464
-0.1606 -4.7961 1.6115
-0.8550 3.1419 4.6509
! - SG = C2/m
! - ΔE_f (eV/atom) = -0.2794
! - calculated density (kg/m3) = 18046

---

! NaMg30FeO32, relaxed, DFT PBEsol; values from VASP
&SYSTEM
  ibrav = 0, nat = 64, ntyp = 4
/
ATOMIC_SPECIES
Mg 24.30 Mg.upf
O 16.00 O.upf
Na 22.99 Na.upf
Fe 55.84 Fe.upf
ATOMIC_POSITIONS angstrom
Mg -3.4453 -4.7086 1.2487
Mg 0.6762 -3.8341 -5.4028
Mg -1.7274 -2.3535 0.6212
Mg -4.4755 -6.4243 -0.9639
Mg -2.7575 -4.0694 -1.6031
Mg 0.3788 -3.4042 2.4632
Mg -0.6498 -9.5951 -2.3050
Mg 2.7995 -4.8827 -3.5705
Mg 1.0620 -2.7640 -0.3752
Mg -5.1632 -7.0638 1.8761
Mg -3.7902 -5.7692 -3.7935
Mg 1.0682 -7.2403 -2.9442
Mg -2.7408 -8.5395 -4.1540
Mg 0.0023 -4.4757 -2.5890
Mg 0.3828 -7.8953 -0.1146
Mg -1.3480 -5.7625 3.0879
Mg 3.1789 -8.2917 -1.1038
Mg -2.3770 -7.4890 0.8712
Mg -3.4096 -9.1889 -1.3192
Mg -3.8241 -1.3044 -1.2146
Mg 1.4413 -6.1730 2.0915
Mg -5.5425 -3.6548 -0.5905
Mg -1.0503 -1.7289 -2.2278
Mg 1.7416 -2.1236 -3.2027
Mg -4.8412 -3.0220 -3.4318
Mg -0.6665 -5.1250 0.2459
Mg -1.0304 -6.1755 -4.7794
Mg -1.7037 -6.8323 -1.9541
Mg 2.1204 -5.5279 -0.7395
Mg -3.1148 -5.1272 -6.6068
O 1.2376 -4.4513 0.8841
O 2.3100 -7.2312 0.4930
O -3.2557 -6.4120 2.4811
O -1.1598 -4.5531 -6.1141
O -1.5235 -8.4510 -0.7828
O -2.5856 -5.7568 -0.3322
O -2.5591 -10.2592 -2.9368
O 0.1807 -1.6239 1.1750
O -1.5067 -4.0474 1.8644
O 1.2799 -8.9497 -1.7174
O 0.5770 -5.1846 3.7515
O -4.6873 -4.7148 -2.1907
O -5.8523 -1.9962 -1.8587
O -0.8217 -7.9077 -3.5760
O -3.6348 -3.0053 0.0162
O -3.6402 -7.4928 -2.5691
O -4.1085 -4.1191 -5.0608
O -3.0052 -2.3029 -2.7205
O -1.8838 -5.2135 -3.1254
O 2.6652 -3.2499 -4.9013
O -1.7960 -0.6126 -0.5704
O -4.3075 -8.1273 0.2785
O 1.9309 -3.8245 -1.9720
O -0.8482 -3.4053 -0.9714
O 0.2329 -6.1717 -1.3390
O -2.9389 -6.8467 -5.4059
O -0.4685 -6.8178 1.4978
O 0.8179 -0.9973 -1.5041
O 0.9001 -5.5372 -4.1866
O -0.0565 -2.7369 -3.7738
O 3.0033 -6.6044 -2.3631
O -5.3838 -5.3699 0.6330
Na -2.0825 -3.4280 -4.4173
Fe 0.0000 0.0000 0.0000
CELL_PARAMETERS angstrom
-7.6482 -2.6088 -2.4291
3.4832 -4.2472 -6.4055
0.7577 -6.8085 4.9265
! - SG = P4/mmm
! - calculated density (kg/m3) = 3648
! - raw formation energy (eV per atom) = -2.64

---

! K2NaLaRe, relaxed, DFT PBEsol; values from VASP
&SYSTEM
  ibrav = 0, nat = 5, ntyp = 4
/
ATOMIC_SPECIES
K 39.10 K.upf
Na 22.99 Na.upf
Re 186.21 Re.upf
La 138.91 La.upf
ATOMIC_POSITIONS angstrom
K -3.2977 -0.2834 -0.0197
K 0.1787 -1.8902 -2.7113
Na -3.2850 -0.1430 -4.1576
Re 0.0000 0.0000 0.0000
La -0.1660 2.0306 -1.4266
CELL_PARAMETERS angstrom
-0.3320 4.0611 -2.8532
0.3574 -3.7804 -5.4225
-6.5954 -0.5669 -0.0395
! - SG = P4/mmm
! - ΔE_f (eV/atom) = 0.9446
! - calculated density (kg/m3) = 3247

---

! K3Rb, relaxed, DFT PBEsol; values from VASP
&SYSTEM
  ibrav = 0, nat = 4, ntyp = 2
/
ATOMIC_SPECIES
K 39.10 K.upf
Rb 85.47 Rb.upf
ATOMIC_POSITIONS angstrom
K 0.0000 0.0000 0.0000
K 3.7309 2.1541 1.5232
K 11.1928 6.4622 4.5695
Rb 7.4619 4.3081 3.0463
CELL_PARAMETERS angstrom
7.4619 0.0000 0.0000
3.7309 6.4622 0.0000
3.7309 2.1541 6.0926
! - SG = Fm-3m
! - ΔE_f (eV/atom) = 0.0030
! - calculated density (kg/m3) = 1146

---

! Tb6CoBr10, relaxed, DFT PBEsol; values from VASP
&SYSTEM
  ibrav = 0, nat = 17, ntyp = 3
/
ATOMIC_SPECIES
Br 79.90 Br.upf
Tb 158.93 Tb.upf
Co 58.93 Co.upf
ATOMIC_POSITIONS angstrom
Br -6.6326 -4.3522 2.7432
Br -4.5997 0.3982 0.0801
Br -8.1182 -0.9548 1.0408
Br -1.9528 -2.0719 -2.0569
Br -5.6526 -3.3476 -1.1351
Br -3.6305 1.4527 -3.6085
Br -7.3303 0.1770 -2.6867
Br -1.1648 -0.9401 -5.7844
Br -4.6833 -2.2931 -4.8237
Br -2.6505 2.4573 -7.4868
Tb -7.3178 1.6025 -0.0401
Tb -3.8883 0.2703 -6.0923
Tb -7.3227 -1.0332 -5.2808
Tb -1.9604 -0.8617 0.5372
Tb -1.9652 -3.4974 -4.7035
Tb -5.3947 -2.1652 1.3487
Co -2.9123 -2.9664 1.7589
CELL_PARAMETERS angstrom
-4.2580 5.7773 0.3951
0.7995 -1.7394 -8.6565
-5.8245 -5.9329 3.5178
! - SG = P-1
! - calculated density (kg/m3) = 5853
! - raw formation energy (eV per atom) = -1.55

---

! TiMnP, relaxed, DFT PBEsol; values from VASP
&SYSTEM
  ibrav = 0, nat = 9, ntyp = 3
/
ATOMIC_SPECIES
Ti 47.87 Ti.upf
Mn 54.94 Mn.upf
P 30.97 P.upf
ATOMIC_POSITIONS angstrom
Ti -1.1804 -1.3600 3.5445
Ti 0.6563 1.1343 2.7260
Ti 1.5418 3.5672 0.8390
Mn -0.0685 -0.9994 1.1300
Mn 3.0653 0.1975 3.4440
Mn 1.0715 1.0640 -0.0030
P -1.0169 1.0264 0.8462
P 2.8048 1.5259 1.5196
P 1.2635 -1.2638 3.0514
CELL_PARAMETERS angstrom
-2.0337 2.0529 1.6924
-0.2778 -4.0535 4.5832
4.3461 4.3156 -0.0122
! - SG = P-62m
! - ΔE_f (eV/atom) = -1.0886
! - calculated density (kg/m3) = 6126

---

! Be2CoReMo, relaxed, DFT PBEsol; values from VASP
&SYSTEM
  ibrav = 0, nat = 5, ntyp = 4
/
ATOMIC_SPECIES
Be 9.01 Be.upf
Mo 95.94 Mo.upf
Co 58.93 Co.upf
Re 186.21 Re.upf
ATOMIC_POSITIONS angstrom
Be 2.0786 0.0000 0.0000
Be 0.0000 2.0786 0.0000
Mo 0.0000 0.0000 0.0000
Co 2.0786 2.0786 2.3046
Re 0.0000 0.0000 2.3046
CELL_PARAMETERS angstrom
4.1572 0.0000 0.0000
0.0000 4.1572 0.0000
0.0000 0.0000 4.6092
! - SG = P4/mmm
! - ΔE_f (eV/atom) = 1.9268
! - calculated density (kg/m3) = 7486

---

! Cr2PtW, relaxed, DFT PBEsol; values from VASP
&SYSTEM
  ibrav = 0, nat = 4, ntyp = 3
/
ATOMIC_SPECIES
W 183.84 W.upf
Pt 195.08 Pt.upf
Cr 52.00 Cr.upf
ATOMIC_POSITIONS angstrom
W -1.8240 -0.5991 3.0124
Pt -2.0932 0.6993 0.6133
Cr 0.1299 -0.6264 1.1574
Cr 0.4085 -1.9703 3.6408
CELL_PARAMETERS angstrom
-0.5044 2.2185 1.2572
-3.6820 -0.8199 -0.0306
0.5383 -2.5967 4.7983
! - SG = Pmmm
! - ΔE_f (eV/atom) = 0.1350
! - calculated density (kg/m3) = 14917
! - E above lowest polymorph (meV/atom) = 116

---

! YNbBi2Sb, relaxed, DFT PBEsol; values from VASP
&SYSTEM
  ibrav = 0, nat = 5, ntyp = 4
/
ATOMIC_SPECIES
Bi 208.98 Bi.upf
Nb 92.91 Nb.upf
Sb 121.76 Sb.upf
Y 88.91 Y.upf
ATOMIC_POSITIONS angstrom
Bi 1.5981 -0.8441 2.1819
Bi -0.5715 -2.7032 -0.6272
Nb -1.2027 -3.4625 3.2204
Sb -2.2294 0.0848 1.6658
Y 0.0000 0.0000 0.0000
CELL_PARAMETERS angstrom
-4.4588 0.1697 3.3315
-1.1430 -5.4064 -1.2544
3.1963 -1.6882 4.3638
! - SG = P4/mmm
! - calculated density (kg/m3) = 6701
! - raw formation energy (eV per atom) = 1.11

---

! TcMoRh2, relaxed, DFT PBEsol; values from VASP
&SYSTEM
  ibrav = 0, nat = 4, ntyp = 3
/
ATOMIC_SPECIES
Rh 102.91 Rh.upf
Tc 98.00 Tc.upf
Mo 95.94 Mo.upf
ATOMIC_POSITIONS angstrom
Rh 0.0000 1.8928 0.0000
Rh 1.8928 0.0000 0.0000
Tc 1.8928 1.8928 1.9383
Mo 0.0000 0.0000 1.9383
CELL_PARAMETERS angstrom
3.7856 0.0000 0.0000
0.0000 3.7856 0.0000
0.0000 0.0000 3.8766
! - SG = P4/mmm
! - ΔE_f (eV/atom) = -0.1715
! - calculated density (kg/m3) = 11948
! - E above lowest polymorph (meV/atom) = 59

---

! Ti3SiGe, relaxed, DFT PBEsol; values from VASP
&SYSTEM
  ibrav = 0, nat = 5, ntyp = 3
/
ATOMIC_SPECIES
Ge 72.64 Ge.upf
Ti 47.87 Ti.upf
Si 28.09 Si.upf
ATOMIC_POSITIONS angstrom
Ge 1.2584 -3.0781 -2.0734
Ti 0.9630 -1.8542 0.8682
Ti -1.2925 -1.2947 -1.3313
Ti 1.5878 0.0707 -1.6103
Si 0.0000 0.0000 0.0000
CELL_PARAMETERS angstrom
-2.5849 -2.5894 -2.6627
3.1757 0.1414 -3.2205
1.9261 -3.7083 1.7364
! - SG = Pm-3m
! - calculated density (kg/m3) = 4379
! - raw formation energy (eV per atom) = 0.18

---

! CoI2OF, relaxed, DFT PBEsol; values from VASP
&SYSTEM
  ibrav = 0, nat = 5, ntyp = 4
/
ATOMIC_SPECIES
I 126.90 I.upf
F 19.00 F.upf
O 16.00 O.upf
Co 58.93 Co.upf
ATOMIC_POSITIONS angstrom
I 0.8577 -0.6649 2.4079
I 0.9277 -2.2790 -0.9597
F 0.3187 -3.6757 1.7685
O -1.4666 -0.7319 0.3203
Co 0.0000 0.0000 0.0000
CELL_PARAMETERS angstrom
-2.9332 -1.4638 0.6406
1.8554 -4.5580 -1.9194
1.7154 -1.3297 4.8157
! - SG = P4/mmm
! - calculated density (kg/m3) = 6196
! - raw formation energy (eV per atom) = -0.29

---

! GeH3Os, relaxed, DFT PBEsol; values from VASP
&SYSTEM
  ibrav = 0, nat = 5, ntyp = 3
/
ATOMIC_SPECIES
H 1.01 H.upf
Os 190.23 Os.upf
Ge 72.64 Ge.upf
ATOMIC_POSITIONS angstrom
H 0.8646 -1.5354 0.1393
H -0.9101 -0.3793 1.4670
H 1.2444 0.7893 0.9761
Os 0.0000 0.0000 0.0000
Ge 1.1989 -1.1254 2.5825
CELL_PARAMETERS angstrom
-1.8202 -0.7587 2.9341
1.7291 -3.0708 0.2787
2.4889 1.5786 1.9522
! - SG = Pm-3m
! - electronic total energy (eV per atom) = -4.946
! - calculated density (kg/m3) = 9994

---

! YTlCu2Sn, relaxed, DFT PBEsol; values from VASP
&SYSTEM
  ibrav = 0, nat = 5, ntyp = 4
/
ATOMIC_SPECIES
Cu 63.55 Cu.upf
Sn 118.71 Sn.upf
Y 88.91 Y.upf
Tl 204.38 Tl.upf
ATOMIC_POSITIONS angstrom
Cu -0.0227 1.4498 1.8931
Cu -2.1926 -0.7569 0.5533
Sn -1.1058 -1.3615 4.0330
Y 1.1095 -2.0544 1.5866
Tl 0.0000 0.0000 0.0000
CELL_PARAMETERS angstrom
-0.0455 2.8996 3.7862
-4.3851 -1.5137 1.1066
2.2191 -4.1088 3.1733
! - SG = P4/mmm
! - ΔE_f (eV/atom) = 0.5580
! - calculated density (kg/m3) = 6971

---

! Al3IrCl, relaxed, DFT PBEsol; values from VASP
&SYSTEM
  ibrav = 0, nat = 5, ntyp = 3
/
ATOMIC_SPECIES
Cl 35.45 Cl.upf
Al 26.98 Al.upf
Ir 192.22 Ir.upf
ATOMIC_POSITIONS angstrom
Cl 0.0000 0.0000 0.0000
Al 0.0000 2.2218 0.0000
Al 2.2218 0.0000 0.0000
Al 0.0000 0.0000 2.2218
Ir 2.2218 2.2218 2.2218
CELL_PARAMETERS angstrom
4.4436 0.0000 0.0000
0.0000 4.4436 0.0000
0.0000 0.0000 4.4436
! - SG = Pm-3m
! - calculated density (kg/m3) = 5840
! - raw formation energy (eV per atom) = 0.93

---

! Ta3In2Se6, relaxed, DFT PBEsol; values from VASP
&SYSTEM
  ibrav = 0, nat = 11, ntyp = 3
/
ATOMIC_SPECIES
Se 78.96 Se.upf
Ta 180.95 Ta.upf
In 114.82 In.upf
ATOMIC_POSITIONS angstrom
Se 0.0000 1.9783 22.1312
Se 0.0000 1.9783 13.7171
Se 0.0000 1.9783 6.7501
Se 0.0000 1.9783 1.6725
Se 0.0000 1.9783 10.0867
Se 0.0000 1.9783 17.0537
Ta 0.0000 0.0000 0.0000
Ta 0.0000 0.0000 8.4310
Ta 0.0000 0.0000 15.3728
In 0.0000 0.0000 19.5429
In 0.0000 0.0000 4.2608
CELL_PARAMETERS angstrom
3.4265 0.0000 0.0000
-1.7133 2.9675 0.0000
0.0000 0.0000 23.8037
! - SG = P-6m2
! - calculated density (kg/m3) = 8550
! - raw formation energy (eV per atom) = -0.71

---

! GeRuS3, relaxed, DFT PBEsol; values from VASP
&SYSTEM
  ibrav = 0, nat = 5, ntyp = 3
/
ATOMIC_SPECIES
S 32.06 S.upf
Ge 72.64 Ge.upf
Ru 101.07 Ru.upf
ATOMIC_POSITIONS angstrom
S 0.0000 2.2778 0.0000
S 2.2778 0.0000 0.0000
S 0.0000 0.0000 2.2778
Ge 2.2778 2.2778 2.2778
Ru 0.0000 0.0000 0.0000
CELL_PARAMETERS angstrom
4.5557 0.0000 0.0000
0.0000 4.5557 0.0000
0.0000 0.0000 4.5557
! - SG = Pm-3m
! - calculated density (kg/m3) = 4740
! - raw formation energy (eV per atom) = 0.36

---

! Ca2AlSi, relaxed, DFT PBEsol; values from VASP
&SYSTEM
  ibrav = 0, nat = 4, ntyp = 3
/
ATOMIC_SPECIES
Al 26.98 Al.upf
Ca 40.08 Ca.upf
Si 28.09 Si.upf
ATOMIC_POSITIONS angstrom
Al 0.0000 0.0000 0.0000
Ca -1.6946 5.1657 7.4503
Ca -0.4530 1.8293 2.6386
Si -1.0738 3.4975 5.0445
CELL_PARAMETERS angstrom
-2.6139 2.3277 0.2731
-2.6168 -0.5577 2.2730
3.0832 5.2250 7.5429
! - SG = R-3m
! - calculated density (kg/m3) = 2222
! - raw formation energy (eV per atom) = -0.01

---

! ScCo2Te, relaxed, DFT PBEsol; values from VASP
&SYSTEM
  ibrav = 0, nat = 4, ntyp = 3
/
ATOMIC_SPECIES
Te 127.60 Te.upf
Sc 44.96 Sc.upf
Co 58.93 Co.upf
ATOMIC_POSITIONS angstrom
Te -1.7851 -0.8633 0.0709
Sc -3.1263 1.9176 0.1612
Co -1.3134 2.8814 2.0134
Co -0.5439 1.1932 0.8337
CELL_PARAMETERS angstrom
-0.8251 1.4872 -2.6666
-3.5703 -1.7265 0.1418
-1.8573 4.0746 2.8471
! - SG = Pmmm
! - calculated density (kg/m3) = 7241
! - raw formation energy (eV per atom) = -0.12
! - E above lowest polymorph (meV/atom) = 149

---

! MnAsCl2, relaxed, DFT PBEsol; values from VASP
&SYSTEM
  ibrav = 0, nat = 4, ntyp = 3
/
ATOMIC_SPECIES
Mn 54.94 Mn.upf
Cl 35.45 Cl.upf
As 74.92 As.upf
ATOMIC_POSITIONS angstrom
Mn -1.2883 -0.0926 -0.8225
Cl -0.4123 -2.2696 0.9015
Cl -1.1416 1.4844 1.6209
As -2.8422 -0.8778 1.7000
CELL_PARAMETERS angstrom
-2.5766 -0.1853 -1.6450
-0.8247 -4.5393 1.8031
-2.2831 2.9689 3.2418
! - SG = Cmmm
! - calculated density (kg/m3) = 4564
! - raw formation energy (eV per atom) = 0.33
! - E above lowest polymorph (meV/atom) = 588